Entry 1:
Density functional theory data (PBE) for a relaxed LiCa2Cu2 crystal.

The structure in POSCAR format:
```
LiCa2Cu2
1.0
-2.206 -1.740 4.884
2.490 -5.011 -0.660
3.294 -2.058 4.005
Ca Cu Li
2 2 1
direct
0.750 0.250 0.500
0.250 0.750 0.500
0.350 0.350 0.300
0.650 0.650 0.700
0.000 0.000 0.000
```

Summary:
- Space group: I4/mmm (139)
- Crystal system: tetragonal
- Energy relative to the elements: 63.0 meV/atom

=====

Entry 2:
Density functional theory data (PBE) for a relaxed Ho2PdS crystal.

The structure in POSCAR format:
```
Ho2PdS
1.0
3.578 0.000 0.000
1.789 3.099 0.000
1.789 1.033 8.647
S Ho Pd
1 2 1
direct
0.500 0.500 0.500
0.101 0.101 0.698
0.899 0.899 0.302
0.000 0.000 0.000
```

Summary:
- Raw formation energy: -0.7817 eV per atom
- Space group: R-3m (166)
- Crystal system: trigonal

=====

Entry 3:
Density functional theory data (PBE) for a relaxed VP2W crystal.

The structure in POSCAR format:
```
VP2W
1.0
-2.953 1.103 0.400
-2.400 -1.240 -1.675
-0.986 -4.309 4.605
V P W
1 2 1
direct
0.674 0.107 0.420
0.340 0.773 0.660
0.007 0.440 0.180
0.674 0.107 0.920
```

Summary:
- Space group: P-3m1 (164)
- Crystal system: trigonal
- Energy relative to the elements: -623.8 meV/atom

=====

V (Å³/cell)
124.0 95.9 55.8
Mass density (g cm⁻³)
2.9 8.1 8.8
Polymorph energy (0 for the lowest one) (meV per atom)
163 660 0